[1]
Compound: LiPr2Hg3
Source: Alexandria via LeMat-Bulk
Functional: PBE-GGA
Structure: optimized geometry

abc: 5.2781 5.2781 13.0713
angles: 90.00 90.00 120.00
Atoms (fractional coordinates):
Li (0.3333, 0.6667, 0.1629)
Li (0.6667, 0.3333, 0.8371)
Pr (0.0000, 0.0000, 0.0000)
Pr (0.0000, 0.0000, 0.5000)
Pr (0.3333, 0.6667, 0.6845)
Pr (0.6667, 0.3333, 0.3155)
Hg (0.0000, 0.0000, 0.2421)
Hg (0.0000, 0.0000, 0.7579)
Hg (0.3333, 0.6667, 0.4060)
Hg (0.3333, 0.6667, 0.9255)
Hg (0.6667, 0.3333, 0.0745)
Hg (0.6667, 0.3333, 0.5940)

Results
energy relative to the lowest polymorph listed for this composition: 0.0 meV per atom
energy of formation: -0.449 eV per atom
SG: No. 164
magnetic moment: 0.000 μB per atom

[2]
Compound: Li3Pr2Hg3
Source: Alexandria via LeMat-Bulk
Functional: PBE-GGA
Structure: optimized geometry

abc: 8.6782 8.6782 6.6622
angles: 90.00 90.00 120.00
Atoms (fractional coordinates):
Li (0.0000, 0.2666, 0.2500)
Li (0.0000, 0.7334, 0.7500)
Li (0.2666, 0.0000, 0.2500)
Li (0.2666, 0.2666, 0.7500)
Li (0.7334, 0.0000, 0.7500)
Li (0.7334, 0.7334, 0.2500)
Pr (0.3333, 0.6667, 0.0000)
Pr (0.3333, 0.6667, 0.5000)
Pr (0.6667, 0.3333, 0.0000)
Pr (0.6667, 0.3333, 0.5000)
Hg (0.0000, 0.3607, 0.7500)
Hg (0.0000, 0.6393, 0.2500)
Hg (0.3607, 0.0000, 0.7500)
Hg (0.3607, 0.3607, 0.2500)
Hg (0.6393, 0.0000, 0.2500)
Hg (0.6393, 0.6393, 0.7500)

Results
energy of formation: -0.260 eV per atom
SG: No. 193
magnetic moment: 0.000 μB per atom